(1)
Here is an optimized crystal structure of ZnHRu from Alexandria via LeMat-Bulk. Energies are from PBE.

Energy: -4.6299 eV/atom
Magnetic moment: 0.00 μB per cell
Distance to the lowest polymorph of the same formula: 0 meV/atom
V: 10.5 Å³/atom
Crystal system: trigonal
DOS at the Fermi energy: 0.67 states/eV/atom

The structure in extended XYZ format:
```
3
Lattice="4.2010 0.0000 0.0000 0.0000 2.9357 0.0000 0.0000 -1.4679 2.5424" Properties=species:S:1:pos:R:3 pbc="T T T"
H 0.3050 1.4679 0.8475
Zn 2.9646 0.0000 1.6949
Ru 0.9314 0.0000 0.0000
```

(2)
Here is an optimized crystal structure of Cs2KLiBi from Alexandria via LeMat-Bulk. Energies are from PBE.

Energy: -1.8587 eV/atom
Magnetic moment: 0.00 μB per cell
Distance to the lowest polymorph of the same formula: 47 meV/atom
V: 66.0 Å³/atom
Crystal system: tetragonal
DOS at the Fermi energy: 0.80 states/eV/atom
Formation energy: -67 kJ/mol of formula units

The structure in extended XYZ format:
```
5
Lattice="-2.8384 4.0128 -6.0469 -5.4530 -5.4636 -1.0662 -3.3380 2.6789 3.3446" Properties=species:S:1:pos:R:3 pbc="T T T"
Cs -1.4192 2.0064 -3.0234
Cs -2.7265 -2.7318 -0.5331
K -5.8147 0.6140 -1.8842
Li -1.6690 1.3394 1.6723
Bi 0.0000 0.0000 0.0000
```

(3)
Here is an optimized crystal structure of HfTiMnV from Alexandria via LeMat-Bulk. Energies are from PBE.

Energy: -9.0170 eV/atom
Magnetic moment: 2.40 μB per cell
V: 15.7 Å³/atom
Crystal system: cubic
DOS at the Fermi energy: 1.04 states/eV/atom
Formation energy: 7 kJ/mol of formula units

The structure in extended XYZ format:
```
4
Lattice="-3.7135 0.8259 -2.3289 -1.4206 -2.9324 -3.0462 -3.6866 -2.3939 0.7580" Properties=species:S:1:pos:R:3 pbc="T T T"
V 0.0000 0.0000 0.0000
Hf -6.6156 -3.3753 -3.4629
Mn -4.4104 -2.2502 -2.3086
Ti -2.2052 -1.1251 -1.1543
```

(4)
Here is an optimized crystal structure of La4Sm7Er from Alexandria via LeMat-Bulk. Energies are from PBE.

Energy: -4.5352 eV/atom
Magnetic moment: 0.00 μB per cell
Distance to the lowest polymorph of the same formula: 221 meV/atom
V: 35.9 Å³/atom
Crystal system: monoclinic
DOS at the Fermi energy: 1.75 states/eV/atom
Formation energy: 278 kJ/mol of formula units

The structure in extended XYZ format:
```
12
Lattice="-5.3825 -2.7420 0.7987 -2.0725 -5.7106 -10.3292 0.1471 -6.2967 2.6170" Properties=species:S:1:pos:R:3 pbc="T T T"
Sm -2.6913 -1.3710 0.3993
Sm -1.2300 -4.1568 0.6833
Sm -4.4203 -6.0597 -4.1069
Sm -6.0780 -10.5925 -7.5968
Sm -2.8876 -8.6896 -2.8065
Sm -5.5149 -9.5560 -0.2433
Sm -1.7931 -5.1933 -6.6701
La -5.4784 -10.7815 -4.2048
La -3.8338 -6.1529 -0.4742
La -3.4741 -8.5964 -6.4393
La -1.8295 -3.9678 -2.7086
Er 0.0000 0.0000 0.0000
```

(5)
Here is an optimized crystal structure of Tm6TlPb2 from Alexandria via LeMat-Bulk. Energies are from PBE.

Energy: -4.1656 eV/atom
Magnetic moment: 0.01 μB per cell
V: 31.5 Å³/atom
Crystal system: orthorhombic
DOS at the Fermi energy: 1.24 states/eV/atom
Formation energy: -85 kJ/mol of formula units

The structure in extended XYZ format:
```
9
Lattice="-0.7584 -1.3076 -4.8823 0.7662 -6.9733 1.7486 -7.5394 3.6397 2.8716" Properties=species:S:1:pos:R:3 pbc="T T T"
Pb -5.0237 -0.3343 0.8680
Pb -2.5079 -4.3069 -1.1301
Tm 0.1988 -5.9145 -1.1220
Tm -1.9113 -5.4105 1.7475
Tm -5.6203 0.7693 -2.0096
Tm -2.2978 -1.8927 0.8654
Tm -5.2338 -2.7485 -1.1274
Tm -0.1910 -2.3664 -2.0117
Tl 0.0000 0.0000 0.0000
```

(6)
Here is an optimized crystal structure of GaPdS2Cl from Alexandria via LeMat-Bulk. Energies are from PBE.

Energy: -3.5317 eV/atom
Magnetic moment: 1.17 μB per cell
Distance to the lowest polymorph of the same formula: 0 meV/atom
V: 22.6 Å³/atom
Crystal system: tetragonal
DOS at the Fermi energy: 1.00 states/eV/atom
ΔE_f (raw): 0.133 eV per atom

The structure in extended XYZ format:
```
5
Lattice="-1.7727 0.9511 4.2690 -1.3355 -4.5040 0.4489 4.4786 -1.1178 2.1088" Properties=species:S:1:pos:R:3 pbc="T T T"
Ga 0.6852 -2.3354 3.4133
Pd 0.0000 0.0000 0.0000
S -0.6678 -2.2520 0.2244
S -0.8863 0.4755 2.1345
Cl 2.2393 -0.5589 1.0544
```